(1)
A plane-wave DFT calculation with GGA-PBE was carried out for a relaxed MgCdTe crystal.

Its calculated volume is 570.6 Å³ per cell. As for the total magnetic moment: 0.00 μB/f.u. The theoretical density comes out at 4.6 g/cm³. The energy relative to the elements, uncorrected is -301 meV/atom. For the offset from the most stable computed form, the calculation gives 0 meV/atom.

It has space group R-3m (No. 166, hexagonal axes), with a = 4.6159 Å, b = 4.6159 Å, c = 30.9260 Å, α = 90.00°, β = 90.00° and γ = 120.00°. The asymmetric unit holds Mg at (0.0000, 0.0000, 0.0864), Cd at (0.0000, 0.0000, 0.3504) and Te at (0.0000, 0.0000, 0.2218).

(2)
A plane-wave DFT calculation with GGA-PBE was carried out for a relaxed Lu2HfAl crystal.

For the energy relative to the elements, the calculation gives -0.16 eV per atom. Its calculated volume is 95.3 Å³ per cell. As for the total magnetic moment: 0.00 μB/f.u. The theoretical density comes out at 9.7 g/cm³. For the offset from the most stable computed form, the calculation gives 0 meV/atom.

It has space group P4/mmm (No. 123), with a = 3.3478 Å, b = 3.3478 Å, c = 8.5028 Å, α = 90.00°, β = 90.00° and γ = 90.00°. The asymmetric unit holds Lu at (0.0000, 0.0000, 0.2340), Hf at (0.5000, 0.5000, 0.5000) and Al at (0.5000, 0.5000, 0.0000).